Entry 1:
{
  "formula": "RbLi2AsI6",
  "functional": "GGA-PBE",
  "state": "optimized geometry",
  "spacegroup": "R-3",
  "raw_formation_energy_ev_per_atom": -0.84,
  "final_energy_ev_per_cell": -27.17,
  "lattice": [[3.6944, 2.1330, 8.8229], [-3.6944, 2.1330, 8.8229], [0.0000, -4.2660, 8.8229]],
  "species": ["Rb", "Li", "Li", "As", "I", "I", "I", "I", "I", "I"],
  "fractional_positions": [[0.0000, 0.0000, 0.0000], [0.1672, 0.1672, 0.1672], [0.8328, 0.8328, 0.8328], [0.5000, 0.5000, 0.5000], [0.1126, 0.4433, 0.7569], [0.2431, 0.8874, 0.5567], [0.4433, 0.7569, 0.1126], [0.5567, 0.2431, 0.8874], [0.7569, 0.1126, 0.4433], [0.8874, 0.5567, 0.2431]]
}

Entry 2:
{
  "formula": "Li2Ce2Al15",
  "functional": "GGA-PBE",
  "state": "optimized geometry",
  "spacegroup": "R-3m",
  "delta_e_f_mev_per_atom": -194,
  "final_energy_ev_per_cell": -75.53,
  "lattice": [[4.6687, 2.6955, 4.5925], [-4.6687, 2.6955, 4.5925], [0.0000, -5.3909, 4.5925]],
  "species": ["Li", "Li", "Ce", "Ce", "Al", "Al", "Al", "Al", "Al", "Al", "Al", "Al", "Al", "Al", "Al", "Al", "Al", "Al", "Al"],
  "fractional_positions": [[0.0988, 0.0988, 0.0988], [0.9012, 0.9012, 0.9012], [0.3443, 0.3443, 0.3443], [0.6557, 0.6557, 0.6557], [0.0000, 0.0000, 0.5000], [0.0000, 0.2961, 0.7039], [0.0000, 0.5000, 0.0000], [0.0000, 0.7039, 0.2961], [0.1566, 0.6480, 0.6480], [0.2961, 0.0000, 0.7039], [0.2961, 0.7039, 0.0000], [0.3520, 0.3520, 0.8434], [0.3520, 0.8434, 0.3520], [0.5000, 0.0000, 0.0000], [0.6480, 0.1566, 0.6480], [0.6480, 0.6480, 0.1566], [0.7039, 0.0000, 0.2961], [0.7039, 0.2961, 0.0000], [0.8434, 0.3520, 0.3520]]
}

Entry 3:
{
  "formula": "CaPaSi4",
  "functional": "GGA-PBE",
  "state": "optimized geometry",
  "spacegroup": "F-43m",
  "raw_formation_energy_ev_per_atom": -0.18,
  "final_energy_ev_per_cell": -34.29,
  "lattice": [[0.0000, 3.7561, 3.7561], [3.7561, 0.0000, 3.7561], [3.7561, 3.7561, 0.0000]],
  "species": ["Ca", "Pa", "Si", "Si", "Si", "Si"],
  "fractional_positions": [[0.0000, 0.0000, 0.0000], [0.2500, 0.2500, 0.2500], [0.1208, 0.6264, 0.6264], [0.6264, 0.1208, 0.6264], [0.6264, 0.6264, 0.1208], [0.6264, 0.6264, 0.6264]]
}

Entry 4:
{
  "formula": "NaInI3",
  "functional": "GGA-PBE",
  "state": "optimized geometry",
  "spacegroup": "P1",
  "raw_formation_energy_ev_per_atom": -0.75,
  "final_energy_ev_per_cell": -24.93,
  "lattice": [[4.7761, 0.0000, 0.0000], [1.9662, 8.4387, 0.0000], [0.9640, 3.7866, 10.6196]],
  "species": ["Na", "Na", "In", "In", "I", "I", "I", "I", "I", "I"],
  "fractional_positions": [[0.0000, 0.0000, 0.0000], [0.0914, 0.5039, 0.2778], [0.1491, 0.4908, 0.7893], [0.2892, 0.9419, 0.4377], [0.2860, 0.7867, 0.7875], [0.5167, 0.1929, 0.7806], [0.5277, 0.8008, 0.1816], [0.6655, 0.2397, 0.3734], [0.8873, 0.5948, 0.5529], [0.8905, 0.3738, 0.0235]]
}

> Which formula does entry 3 have?

CaPaSi4

> Number 2 is which compound?

Li2Ce2Al15